# CaFe3Pt PBE relaxed
data_CaFe3Pt
_chemical_formula_sum 'Ca1 Fe3 Pt1'
_cell_length_a 4.764
_cell_length_b 4.764
_cell_length_c 4.764
_cell_angle_alpha 90.00
_cell_angle_beta 90.00
_cell_angle_gamma 90.00
_symmetry_space_group_name_H-M 'P m -3 m'
_symmetry_Int_Tables_number 221
_symmetry_space_group_name_Hall '-P 4 2 3'
loop_
_atom_site_label
_atom_site_type_symbol
_atom_site_fract_x
_atom_site_fract_y
_atom_site_fract_z
_atom_site_occupancy
Ca1 Ca 0.000 0.000 0.000 1
Fe1 Fe 0.000 0.500 0.500 1
Pt1 Pt 0.500 0.500 0.500 1
# Calculated formation energy, eV per atom: 0.623
# ΔE to the lowest computed polymorph, eV/f.u.: 0.000


# CaFePt3 PBE relaxed
data_CaFePt3
_chemical_formula_sum 'Ca1 Fe1 Pt3'
_cell_length_a 4.688
_cell_length_b 4.688
_cell_length_c 4.688
_cell_angle_alpha 90.00
_cell_angle_beta 90.00
_cell_angle_gamma 90.00
_symmetry_space_group_name_H-M 'P m -3 m'
_symmetry_Int_Tables_number 221
_symmetry_space_group_name_Hall '-P 4 2 3'
loop_
_atom_site_label
_atom_site_type_symbol
_atom_site_fract_x
_atom_site_fract_y
_atom_site_fract_z
_atom_site_occupancy
Ca1 Ca 0.000 0.000 0.000 1
Fe1 Fe 0.500 0.500 0.500 1
Pt1 Pt 0.000 0.500 0.500 1
# Calculated formation energy, eV per atom: 0.039
# ΔE to the lowest computed polymorph, eV/f.u.: 0.000


# CaFe4Pt PBE relaxed
data_CaFe4Pt
_chemical_formula_sum 'Ca4 Fe16 Pt4'
_cell_length_a 7.072
_cell_length_b 7.072
_cell_length_c 7.072
_cell_angle_alpha 90.00
_cell_angle_beta 90.00
_cell_angle_gamma 90.00
_symmetry_space_group_name_H-M 'F -4 3 m'
_symmetry_Int_Tables_number 216
_symmetry_space_group_name_Hall 'F -4 2 3'
loop_
_atom_site_label
_atom_site_type_symbol
_atom_site_fract_x
_atom_site_fract_y
_atom_site_fract_z
_atom_site_occupancy
Ca1 Ca 0.000 0.000 0.000 1
Fe1 Fe 0.125 0.125 0.625 1
Pt1 Pt 0.250 0.250 0.250 1
# Calculated formation energy, eV per atom: 0.023


Looking at E_tot for the records above, in order, we have -6.063 -5.678 -6.959 eV per atom.
Looking at Fermi-level density of states for the records above, in order, we have 5.72 3.51 19.35 states/eV per cell.